1.
VASP calculation (GGA-PBE) on an optimized crystal structure of UBr2Cl3.

The structure in POSCAR format:
```
UBr2Cl3
1.0
-2.694 3.905 6.745
2.694 -3.905 6.745
2.694 3.905 -6.745
U Br Cl
1 2 3
Cartesian
0.000 0.000 0.000
2.694 -2.040 4.872
2.694 2.040 4.872
0.000 1.753 1.746
0.000 6.057 1.746
0.000 3.905 6.736
```

## Properties
As for the space group: Imm2 (44). As for the total energy: -0.17651 Ha/atom. Its volume is 284 Å³ per cell.

=====

2.
VASP calculation (GGA-PBE) on an optimized crystal structure of U2Br8Cl.

The structure in POSCAR format:
```
U2Br8Cl
1.0
9.108 -5.860 0.000
9.108 5.860 0.000
-1.725 0.000 5.424
U Br Cl
2 8 1
Cartesian
2.565 0.000 0.886
13.927 0.000 4.538
4.902 3.215 4.587
1.534 0.000 3.523
5.080 0.000 1.694
11.590 3.215 0.836
4.902 -3.215 4.587
11.411 0.000 3.730
14.958 0.000 1.901
11.590 -3.215 0.836
0.000 0.000 0.000
```

## Properties
As for the space group: C2/m (12). As for the total energy: -0.17242 Ha/atom. Its volume is 579 Å³ per cell.

=====

3.
VASP calculation (GGA-PBE) on an optimized crystal structure of UBrCl4.

The structure in POSCAR format:
```
UBrCl4
1.0
5.691 0.000 0.000
0.000 7.449 0.000
-5.658 0.000 12.520
U Br Cl
2 2 8
Cartesian
0.000 0.000 0.000
-2.829 3.724 6.260
2.845 0.000 0.000
0.016 3.724 6.260
-2.829 1.605 7.538
-0.001 2.119 1.278
-2.832 5.004 8.380
-0.003 6.169 2.120
0.036 1.280 10.400
2.864 2.445 4.140
0.033 5.329 11.242
2.862 5.844 4.982
```

## Properties
As for the space group: P2_1/c (14). As for the total energy: -0.18017 Ha/atom. Its volume is 531 Å³ per cell.

=====

4.
VASP calculation (GGA-PBE) on an optimized crystal structure of U2BrCl8.

The structure in POSCAR format:
```
U2BrCl8
1.0
4.981 -5.620 0.000
4.981 5.620 0.000
-0.580 0.000 8.930
U Br Cl
2 1 8
Cartesian
0.848 0.000 2.735
8.535 0.000 6.195
0.000 0.000 0.000
3.629 3.135 6.209
1.180 0.000 5.400
5.754 3.135 2.721
3.279 0.000 2.240
6.104 0.000 6.690
3.629 -3.135 6.209
8.202 0.000 3.530
5.754 -3.135 2.721
```

## Properties
As for the space group: C2/m (12). As for the total energy: -0.18931 Ha/atom. Its volume is 500 Å³ per cell.

=====

5.
VASP calculation (GGA-PBE) on an optimized crystal structure of UBrCl2.

The structure in POSCAR format:
```
UBrCl2
1.0
5.803 0.000 0.000
0.000 4.181 0.000
-2.883 0.000 6.558
U Br Cl
1 1 2
Cartesian
0.000 0.000 0.000
2.902 0.000 0.000
-0.025 2.090 1.798
2.945 2.090 4.760
```

## Properties
As for the space group: P2/m (10). As for the total energy: -0.20790 Ha/atom. Its volume is 159 Å³ per cell.

=====

6.
VASP calculation (GGA-PBE) on an optimized crystal structure of UBrCl2.

The structure in POSCAR format:
```
UBrCl2
1.0
1.967 -7.100 0.000
1.967 7.100 0.000
0.000 0.000 8.718
U Br Cl
2 2 4
Cartesian
1.967 3.754 6.538
1.967 -3.754 2.179
1.967 1.230 2.179
1.967 -1.230 6.538
1.967 4.765 0.603
1.967 4.765 3.756
1.967 -4.765 4.962
1.967 -4.765 8.115
```

## Properties
As for the space group: Cmcm (63). As for the total energy: -0.20996 Ha/atom. Its volume is 244 Å³ per cell.